No. 1
Material: Tb6PbSe2S3
Method: DFT, PBE-GGA
State: relaxed

Summary:
The uncorrected formation energy comes out at -1.6607 eV/atom. As for the symmetry: C2/m, No. 12.

a = 4.0015 Å, b = 8.3041 Å, c = 9.1674 Å
α = 103.95°, β = 102.61°, γ = 90.00°
With the nearest neighbours (Å) after each atom.
Element x y z (fractional)
Tb  0.3256  0.9315  0.6511  3 S 2.78-2.81, 2 Se 3.00, 1 Pb 3.03
Pb  0.5000  0.0000  0.0000  6 Tb 3.03-3.04
Tb  0.9965  0.2729  0.9929  3 S 2.74-2.81, 1 Se 3.01, 2 Pb 3.04
Tb  0.3384  0.4063  0.6768  3 S 2.77-2.80, 3 Se 2.93-2.96
S  0.5000  0.5000  0.0000  6 Tb 2.74-2.80
Tb  0.6616  0.5937  0.3232  3 S 2.77-2.80, 3 Se 2.93-2.96
Se  0.8306  0.6647  0.6613  6 Tb 2.93-3.01
Tb  0.6744  0.0685  0.3489  3 S 2.78-2.81, 2 Se 3.00, 1 Pb 3.03
S  0.1658  0.8270  0.3315  6 Tb 2.77-2.81
Tb  0.0035  0.7271  0.0071  3 S 2.74-2.81, 1 Se 3.01, 2 Pb 3.04
Se  0.1694  0.3353  0.3387  6 Tb 2.93-3.01
S  0.8342  0.1730  0.6685  6 Tb 2.77-2.81

No. 2
Material: CrCoIr2
Method: DFT, PBE-GGA
State: relaxed

Summary:
The formation energy is -0.18 eV per atom. As for the symmetry: Pmmn, No. 59.

a = 4.1762 Å, b = 4.5696 Å, c = 5.3685 Å
α = 90.00°, β = 90.00°, γ = 90.00°
With the nearest neighbours (Å) after each atom.
Element x y z (fractional)
Cr  0.5000  0.6631  0.5000  4 Co 2.56-2.68, 8 Ir 2.57-2.72
Ir  0.5000  0.1815  0.2524  4 Cr 2.57-2.72, 4 Co 2.57-2.74, 4 Ir 2.66-2.71
Co  0.0000  0.3394  0.5000  4 Cr 2.56-2.68, 8 Ir 2.57-2.74
Ir  0.0000  0.8185  0.7524  4 Cr 2.57-2.72, 4 Co 2.57-2.74, 4 Ir 2.66-2.71
Ir  0.0000  0.8185  0.2476  4 Cr 2.57-2.72, 4 Co 2.57-2.74, 4 Ir 2.66-2.71
Cr  0.0000  0.3369  0.0000  4 Co 2.56-2.68, 8 Ir 2.57-2.72
Ir  0.5000  0.1815  0.7476  4 Cr 2.57-2.72, 4 Co 2.57-2.74, 4 Ir 2.66-2.71
Co  0.5000  0.6606  0.0000  4 Cr 2.56-2.68, 8 Ir 2.57-2.74

No. 3
Material: Pr16Dy6Ho7
Method: DFT, PBE-GGA
State: relaxed

Summary:
The formation energy is 0.20 eV per atom. As for the symmetry: Fm-3m, No. 225.

a = 11.3677 Å, b = 11.3677 Å, c = 11.3677 Å
α = 60.00°, β = 60.00°, γ = 60.00°
With the nearest neighbours (Å) after each atom.
Element x y z (fractional)
Ho  0.0000  0.5000  0.0000  8 Pr 3.32-3.48
Pr  0.6487  0.6487  0.0540  3 Ho 3.32, 3 Dy 3.66, 3 Pr 3.68
Ho  0.5000  0.0000  0.5000  8 Pr 3.32-3.48
Ho  0.5000  0.0000  0.0000  8 Pr 3.32-3.48
Pr  0.3513  0.3513  0.3513  3 Ho 3.32, 3 Dy 3.66, 3 Pr 3.68
Dy  0.2639  0.7361  0.7361  8 Pr 3.61-3.66, 4 Ho 4.03
Pr  0.6487  0.6487  0.6487  3 Ho 3.32, 3 Dy 3.66, 3 Pr 3.68
Pr  0.8749  0.8749  0.8749  4 Ho 3.48, 3 Dy 3.61, 3 Pr 3.68
Dy  0.7361  0.2639  0.7361  8 Pr 3.61-3.66, 4 Ho 4.03
Pr  0.1251  0.1251  0.6246  4 Ho 3.48, 3 Dy 3.61, 3 Pr 3.68
Dy  0.2639  0.7361  0.2639  8 Pr 3.61-3.66, 4 Ho 4.03
Ho  0.0000  0.5000  0.5000  8 Pr 3.32-3.48
Dy  0.2639  0.2639  0.7361  8 Pr 3.61-3.66, 4 Ho 4.03
Pr  0.3513  0.9460  0.3513  3 Ho 3.32, 3 Dy 3.66, 3 Pr 3.68
Ho  0.0000  0.0000  0.5000  8 Pr 3.32-3.48
Dy  0.7361  0.7361  0.2639  8 Pr 3.61-3.66, 4 Ho 4.03
Pr  0.8749  0.3754  0.8749  4 Ho 3.48, 3 Dy 3.61, 3 Pr 3.68
Pr  0.6487  0.0540  0.6487  3 Ho 3.32, 3 Dy 3.66, 3 Pr 3.68
Ho  0.0000  0.0000  0.0000  8 Pr 3.48
Pr  0.3754  0.8749  0.8749  4 Ho 3.48, 3 Dy 3.61, 3 Pr 3.68
Pr  0.8749  0.8749  0.3754  4 Ho 3.48, 3 Dy 3.61, 3 Pr 3.68
Ho  0.5000  0.5000  0.0000  8 Pr 3.32-3.48
Pr  0.1251  0.6246  0.1251  4 Ho 3.48, 3 Dy 3.61, 3 Pr 3.68
Pr  0.1251  0.1251  0.1251  4 Ho 3.48, 3 Dy 3.61, 3 Pr 3.68
Pr  0.6246  0.1251  0.1251  4 Ho 3.48, 3 Dy 3.61, 3 Pr 3.68
Pr  0.0540  0.6487  0.6487  3 Ho 3.32, 3 Dy 3.66, 3 Pr 3.68
Pr  0.9460  0.3513  0.3513  3 Ho 3.32, 3 Dy 3.66, 3 Pr 3.68
Pr  0.3513  0.3513  0.9460  3 Ho 3.32, 3 Dy 3.66, 3 Pr 3.68
Dy  0.7361  0.2639  0.2639  8 Pr 3.61-3.66, 4 Ho 4.03

| no. | E (eV per atom) | spin magnetization (μB per cell) |
| --- | --- | --- |
| 1 | -5.897 | 0.0 |
| 2 | -8.794 | 0.9 |
| 3 | -4.492 | 0.0 |